1.
Crystalline SrAsOs2 at its relaxed geometry. Source: the Alexandria database, functional PBE-GGA.

**Total moment**: 0.000 μB per formula unit
**ΔH_f (0 K)**: 0.36 eV/atom
**Final energy**: -6.837 eV per atom
**DOS(E_F)**: 3.52 states/eV/cell

Unit cell a=4.919 b=3.986 c=5.100 alpha=90.00 beta=93.85 gamma=90.00
Space group P2/m (No. 10)
Unique sites:
1 Sr 0.000 0.000 0.000 [1 per cell]
2 As 0.500 0.000 0.500 [1 per cell]
3 Os 0.475 0.500 0.769 [2 per cell]


2.
Crystalline Rb2AgAsBr6 at its relaxed geometry. Source: the Alexandria database, functional PBE-GGA.

**Total moment**: 0.000 μB per formula unit
**Formation energy from raw total energies**: -0.955 eV/atom
**Final energy**: -2.903 eV per atom
**Energy above the lowest structure with this stoichiometry**: 0.0 meV/atom

Unit cell a=7.710 b=7.771 c=13.434 alpha=90.00 beta=124.92 gamma=90.00
Space group P2_1/c (No. 14)
Unique sites:
1 Rb 0.239 0.042 0.250 [4 per cell]
2 Ag 0.000 0.000 0.500 [2 per cell]
3 As 0.500 0.000 0.000 [2 per cell]
4 Br 0.196 0.208 0.973 [4 per cell]
5 Br 0.270 0.723 0.977 [4 per cell]
6 Br 0.308 0.000 0.758 [4 per cell]